[1]
The following is a GGA-PBE calculation of a relaxed BaAg2P crystal, from Alexandria via LeMat-Bulk.

Its calculated density is 6.0 g cm⁻³. The calculation puts the formation energy from the elements at 68.4 meV per atom. For the electronic total energy, the calculation gives -51.05 eV/cell.

```
BaAg2P
1.0
6.178 0.000 0.000
0.000 6.427 0.000
0.000 0.000 10.759
Ba Ag P
4 8 4
Direct
0.000 0.000 0.000
0.000 0.500 0.500
0.500 0.000 0.500
0.500 0.500 0.000
0.000 0.250 0.250
0.000 0.250 0.750
0.000 0.750 0.250
0.000 0.750 0.750
0.500 0.250 0.250
0.500 0.250 0.750
0.500 0.750 0.250
0.500 0.750 0.750
0.000 0.000 0.500
0.000 0.500 0.000
0.500 0.000 0.000
0.500 0.500 0.500
```

---

[2]
The following is a GGA-PBE calculation of a relaxed AcY4Ho6 crystal, from Alexandria via LeMat-Bulk.

Its calculated density is 6.6 g cm⁻³. The calculation puts the formation energy from the elements at 454.5 meV per atom. For the electronic total energy, the calculation gives -52.43 eV/cell.

```
AcY4Ho6
1.0
-3.916 3.916 6.429
3.916 -3.916 6.429
3.916 3.916 -6.429
Ac Y Ho
1 4 6
Direct
0.000 0.000 0.000
0.261 0.261 0.672
0.411 0.739 0.000
0.589 0.589 0.328
0.739 0.411 0.000
0.000 0.500 0.500
0.070 0.553 0.000
0.447 0.447 0.517
0.500 0.000 0.500
0.553 0.070 0.000
0.930 0.930 0.483
```

---

[3]
The following is a GGA-PBE calculation of a relaxed CsSc2I6 crystal, from Alexandria via LeMat-Bulk.

Its uncorrected formation energy is -1262 meV per atom. Its calculated density is 3.7 g cm⁻³. For the electronic total energy, the calculation gives -34.18 eV/cell.

```
CsSc2I6
1.0
7.515 0.000 0.000
-3.758 6.508 0.000
0.000 0.000 8.959
Cs Sc I
1 2 6
Direct
0.000 0.000 0.000
0.333 0.667 0.500
0.667 0.333 0.500
0.000 0.363 0.690
0.000 0.637 0.310
0.363 0.000 0.690
0.363 0.363 0.310
0.637 0.000 0.310
0.637 0.637 0.690
```

---

[4]
The following is a GGA-PBE calculation of a relaxed La7Ho12Th crystal, from Alexandria via LeMat-Bulk.

Its calculated density is 7.0 g cm⁻³. The calculation puts the formation energy from the elements at 636.1 meV per atom. For the electronic total energy, the calculation gives -84.12 eV/cell.

```
La7Ho12Th
1.0
-5.745 5.745 5.745
5.745 -5.745 5.745
5.745 5.745 -5.745
La Ho Th
7 12 1
Direct
0.000 0.000 0.500
0.000 0.500 0.000
0.000 0.500 0.500
0.500 0.000 0.000
0.500 0.000 0.500
0.500 0.500 0.000
0.500 0.500 0.500
0.000 0.218 0.782
0.000 0.782 0.218
0.218 0.000 0.782
0.218 0.218 0.436
0.218 0.436 0.218
0.218 0.782 0.000
0.436 0.218 0.218
0.564 0.782 0.782
0.782 0.000 0.218
0.782 0.218 0.000
0.782 0.564 0.782
0.782 0.782 0.564
0.000 0.000 0.000
```

---

[5]
The following is a GGA-PBE calculation of a relaxed AlCoCl2 crystal, from Alexandria via LeMat-Bulk.

Its uncorrected formation energy is 290 meV per atom. Its calculated density is 3.5 g cm⁻³. For the electronic total energy, the calculation gives -26.76 eV/cell.

```
AlCoCl2
1.0
6.873 0.000 0.000
0.000 6.887 0.000
0.000 0.000 3.148
Al Co Cl
2 2 4
Direct
0.000 0.000 0.000
0.500 0.500 0.000
0.000 0.500 0.000
0.500 0.000 0.000
0.250 0.250 0.500
0.250 0.750 0.500
0.750 0.250 0.500
0.750 0.750 0.500
```

---

[6]
The following is a GGA-PBE calculation of a relaxed PrTmPt crystal, from Alexandria via LeMat-Bulk.

Its calculated density is 10.4 g cm⁻³. The calculation puts the formation energy from the elements at -877.2 meV per atom. For the electronic total energy, the calculation gives -35.85 eV/cell.

```
PrTmPt
1.0
4.760 0.000 0.000
0.000 4.769 0.000
-0.427 0.000 7.127
Pr Tm Pt
2 2 2
Direct
0.244 0.250 0.380
0.756 0.750 0.620
0.256 0.750 0.001
0.744 0.250 0.999
0.217 0.250 0.781
0.783 0.750 0.219
```